# Ce2Np3TiP6, relaxed, DFT PBE
# M_tot = 24.62 μB/cell
# energy relative to the elements = -1070 meV/atom
data_Ce2Np3TiP6
_chemical_formula_sum 'Ce4 Np6 Ti2 P12'
_cell_length_a 6.828
_cell_length_b 11.820
_cell_length_c 6.797
_cell_angle_alpha 90.00
_cell_angle_beta 109.72
_cell_angle_gamma 90.00
_symmetry_space_group_name_H-M 'C 1 2/m 1'
_symmetry_Int_Tables_number 12
loop_
_symmetry_equiv_pos_as_xyz
'x,y,z'
'-x,-y,-z'
'-x,y,-z'
'x,-y,z'
'x+1/2,y+1/2,z'
'-x+1/2,-y+1/2,-z'
'-x+1/2,y+1/2,-z'
'x+1/2,-y+1/2,z'
loop_
_atom_site_label
_atom_site_type_symbol
_atom_site_fract_x
_atom_site_fract_y
_atom_site_fract_z
Ce1 Ce 0.000 0.165 0.000
Np1 Np 0.000 0.000 0.500
Np2 Np 0.000 0.327 0.500
Ti1 Ti 0.000 0.500 0.000
P1 P 0.228 0.500 0.746
P2 P 0.237 0.343 0.244